# 1
# Sc2Si2Ag | Alexandria | SCAN | single point on PBEsol structure
# - Space group: P4/mbm (127)
# - Theoretical density: 4.88 Mg/m³
# - Electronic total energy: -16.650 eV/atom
# - Size of the total moment: 0.00 μB/f.u.
data_Sc2Si2Ag
_symmetry_space_group_name_H-M 'P 1'
_symmetry_Int_Tables_number 1
_cell_length_a 3.9835
_cell_length_b 6.5836
_cell_length_c 6.5836
_cell_angle_alpha 90.00
_cell_angle_beta 90.00
_cell_angle_gamma 90.00
loop_
_symmetry_equiv_pos_as_xyz
'x,y,z'
loop_
_atom_site_label
_atom_site_type_symbol
_atom_site_fract_x
_atom_site_fract_y
_atom_site_fract_z
_atom_site_occupancy
Si1 Si 0.0000 0.8737 0.6263 1
Si2 Si 0.0000 0.6263 0.1263 1
Si3 Si 0.0000 0.3737 0.8737 1
Si4 Si 0.0000 0.1263 0.3737 1
Sc1 Sc 0.5000 0.3274 0.1726 1
Sc2 Sc 0.5000 0.1726 0.6726 1
Sc3 Sc 0.5000 0.8274 0.3274 1
Sc4 Sc 0.5000 0.6726 0.8274 1
Ag1 Ag 0.0000 0.0000 0.0000 1
Ag2 Ag 0.0000 0.5000 0.5000 1

=====

# 2
# ScSi2Ag | Alexandria | SCAN | single point on PBEsol structure
# - Space group: R3m (160)
# - Theoretical density: 5.22 Mg/m³
# - Electronic total energy: -16.225 eV/atom
# - Size of the total moment: 0.00 μB/f.u.
data_ScSi2Ag
_symmetry_space_group_name_H-M 'P 1'
_symmetry_Int_Tables_number 1
_cell_length_a 2.9846
_cell_length_b 2.9846
_cell_length_c 8.7839
_cell_angle_alpha 80.22
_cell_angle_beta 80.22
_cell_angle_gamma 60.00
loop_
_symmetry_equiv_pos_as_xyz
'x,y,z'
loop_
_atom_site_label
_atom_site_type_symbol
_atom_site_fract_x
_atom_site_fract_y
_atom_site_fract_z
_atom_site_occupancy
Si1 Si 0.7462 0.7462 0.7614 1
Si2 Si 0.0062 0.0062 0.9814 1
Ag1 Ag 0.4922 0.4922 0.5234 1
Sc1 Sc 0.2554 0.2554 0.2339 1

=====

# 3
# ScSi2Ag | Alexandria | SCAN | single point on PBEsol structure
# - Space group: Pmm2 (25)
# - Theoretical density: 5.32 Mg/m³
# - Electronic total energy: -16.566 eV/atom
# - Size of the total moment: 0.00 μB/f.u.
data_ScSi2Ag
_symmetry_space_group_name_H-M 'P 1'
_symmetry_Int_Tables_number 1
_cell_length_a 2.8514
_cell_length_b 4.4957
_cell_length_c 5.0928
_cell_angle_alpha 90.00
_cell_angle_beta 90.00
_cell_angle_gamma 90.00
loop_
_symmetry_equiv_pos_as_xyz
'x,y,z'
loop_
_atom_site_label
_atom_site_type_symbol
_atom_site_fract_x
_atom_site_fract_y
_atom_site_fract_z
_atom_site_occupancy
Ag1 Ag 0.0000 0.0000 0.5041 1
Si1 Si 0.0000 0.0000 0.0100 1
Si2 Si 0.0000 0.5000 0.7525 1
Sc1 Sc 0.5000 0.5000 0.2334 1

=====

# 4
# ScSiAg2 | Alexandria | SCAN | single point on PBEsol structure
# - Space group: R3m (160)
# - Theoretical density: 6.98 Mg/m³
# - Electronic total energy: -21.674 eV/atom
# - Size of the total moment: 0.00 μB/f.u.
data_ScSiAg2
_symmetry_space_group_name_H-M 'P 1'
_symmetry_Int_Tables_number 1
_cell_length_a 2.9621
_cell_length_b 2.9621
_cell_length_c 9.1954
_cell_angle_alpha 80.73
_cell_angle_beta 80.73
_cell_angle_gamma 60.00
loop_
_symmetry_equiv_pos_as_xyz
'x,y,z'
loop_
_atom_site_label
_atom_site_type_symbol
_atom_site_fract_x
_atom_site_fract_y
_atom_site_fract_z
_atom_site_occupancy
Sc1 Sc 0.5038 0.5038 0.4885 1
Ag1 Ag 0.9957 0.9957 0.0130 1
Ag2 Ag 0.7484 0.7484 0.7548 1
Si1 Si 0.2521 0.2521 0.2438 1

=====

# 5
# Sc2SiAg | Alexandria | SCAN | single point on PBEsol structure
# - Space group: Pmmm (47)
# - Theoretical density: 5.16 Mg/m³
# - Electronic total energy: -17.929 eV/atom
# - Size of the total moment: 0.00 μB/f.u.
data_Sc2SiAg
_symmetry_space_group_name_H-M 'P 1'
_symmetry_Int_Tables_number 1
_cell_length_a 3.0643
_cell_length_b 3.6194
_cell_length_c 6.5484
_cell_angle_alpha 90.00
_cell_angle_beta 90.00
_cell_angle_gamma 90.00
loop_
_symmetry_equiv_pos_as_xyz
'x,y,z'
loop_
_atom_site_label
_atom_site_type_symbol
_atom_site_fract_x
_atom_site_fract_y
_atom_site_fract_z
_atom_site_occupancy
Ag1 Ag 0.5000 0.5000 0.5000 1
Si1 Si 0.5000 0.5000 0.0000 1
Sc1 Sc 0.0000 0.0000 0.2350 1
Sc2 Sc 0.0000 0.0000 0.7650 1

=====

# 6
# ScAgSn | Alexandria | SCAN | single point on PBEsol structure
# - Space group: P-62m (189)
# - Theoretical density: 7.32 Mg/m³
# - Electronic total energy: -27.723 eV/atom
# - Size of the total moment: 0.00 μB/f.u.
# - Energy of formation from the pure elements: -0.5479 eV per atom
data_ScAgSn
_symmetry_space_group_name_H-M 'P 1'
_symmetry_Int_Tables_number 1
_cell_length_a 4.2882
_cell_length_b 7.0543
_cell_length_c 7.0543
_cell_angle_alpha 120.00
_cell_angle_beta 90.00
_cell_angle_gamma 90.00
loop_
_symmetry_equiv_pos_as_xyz
'x,y,z'
loop_
_atom_site_label
_atom_site_type_symbol
_atom_site_fract_x
_atom_site_fract_y
_atom_site_fract_z
_atom_site_occupancy
Ag1 Ag 0.0000 0.2466 0.0000 1
Ag2 Ag 0.0000 0.0000 0.2466 1
Ag3 Ag 0.0000 0.7534 0.7534 1
Sc1 Sc 0.5000 0.5667 0.0000 1
Sc2 Sc 0.5000 0.0000 0.5667 1
Sc3 Sc 0.5000 0.4333 0.4333 1
Sn1 Sn 0.0000 0.3333 0.6667 1
Sn2 Sn 0.5000 0.0000 0.0000 1
Sn3 Sn 0.0000 0.6667 0.3333 1

=====

# 7
# ScAgSn | Alexandria | SCAN | single point on PBEsol structure
# - Space group: Ima2 (46)
# - Theoretical density: 7.34 Mg/m³
# - Electronic total energy: -27.721 eV/atom
# - Size of the total moment: 0.00 μB/f.u.
# - Energy of formation from the pure elements: -0.5454 eV per atom
data_ScAgSn
_symmetry_space_group_name_H-M 'P 1'
_symmetry_Int_Tables_number 1
_cell_length_a 7.0369
_cell_length_b 8.2331
_cell_length_c 8.2331
_cell_angle_alpha 63.30
_cell_angle_beta 64.70
_cell_angle_gamma 64.70
loop_
_symmetry_equiv_pos_as_xyz
'x,y,z'
loop_
_atom_site_label
_atom_site_type_symbol
_atom_site_fract_x
_atom_site_fract_y
_atom_site_fract_z
_atom_site_occupancy
Ag1 Ag 0.4997 0.0000 0.0000 1
Ag2 Ag 0.0119 0.0910 0.1504 1
Ag3 Ag 0.2533 0.3496 0.4090 1
Ag4 Ag 0.0119 0.6504 0.5910 1
Ag5 Ag 0.2533 0.9090 0.8496 1
Ag6 Ag 0.4997 0.5000 0.5000 1
Sc1 Sc 0.2617 0.4831 0.9831 1
Sc2 Sc 0.6692 0.0442 0.5442 1
Sc3 Sc 0.7279 0.5169 0.0169 1
Sc4 Sc 0.8206 0.7486 0.2486 1
Sc5 Sc 0.8178 0.2514 0.7514 1
Sc6 Sc 0.2576 0.9558 0.4558 1
Sn1 Sn 0.2835 0.7219 0.2219 1
Sn2 Sn 0.5898 0.1637 0.1709 1
Sn3 Sn 0.9244 0.3291 0.3363 1
Sn4 Sn 0.5898 0.6709 0.6637 1
Sn5 Sn 0.9244 0.8363 0.8291 1
Sn6 Sn 0.2273 0.2781 0.7781 1

=====

# 8
# SrSc4Ag | Alexandria | SCAN | single point on PBEsol structure
# - Space group: F-43m (216)
# - Theoretical density: 4.00 Mg/m³
# - Electronic total energy: -18.017 eV/atom
# - Size of the total moment: 1.72 μB/f.u.
# - Energy of formation from the pure elements: 0.4146 eV per atom
data_SrSc4Ag
_symmetry_space_group_name_H-M 'P 1'
_symmetry_Int_Tables_number 1
_cell_length_a 6.0412
_cell_length_b 6.0412
_cell_length_c 6.0412
_cell_angle_alpha 60.00
_cell_angle_beta 60.00
_cell_angle_gamma 60.00
loop_
_symmetry_equiv_pos_as_xyz
'x,y,z'
loop_
_atom_site_label
_atom_site_type_symbol
_atom_site_fract_x
_atom_site_fract_y
_atom_site_fract_z
_atom_site_occupancy
Sr1 Sr 0.7500 0.7500 0.7500 1
Sc1 Sc 0.3734 0.8797 0.3734 1
Sc2 Sc 0.3734 0.3734 0.8797 1
Sc3 Sc 0.3734 0.3734 0.3734 1
Sc4 Sc 0.8797 0.3734 0.3734 1
Ag1 Ag 0.0000 0.0000 0.0000 1

=====

# 9
# Sr2ScAg | Alexandria | SCAN | single point on PBEsol structure
# - Space group: Fm-3m (225)
# - Theoretical density: 4.35 Mg/m³
# - Electronic total energy: -22.233 eV/atom
# - Size of the total moment: 0.00 μB/f.u.
# - Energy of formation from the pure elements: 0.3055 eV per atom
data_Sr2ScAg
_symmetry_space_group_name_H-M 'P 1'
_symmetry_Int_Tables_number 1
_cell_length_a 5.6151
_cell_length_b 5.6151
_cell_length_c 5.6151
_cell_angle_alpha 60.00
_cell_angle_beta 60.00
_cell_angle_gamma 60.00
loop_
_symmetry_equiv_pos_as_xyz
'x,y,z'
loop_
_atom_site_label
_atom_site_type_symbol
_atom_site_fract_x
_atom_site_fract_y
_atom_site_fract_z
_atom_site_occupancy
Ag1 Ag 0.0000 0.0000 0.0000 1
Sr1 Sr 0.7500 0.7500 0.7500 1
Sr2 Sr 0.2500 0.2500 0.2500 1
Sc1 Sc 0.5000 0.5000 0.5000 1

=====

# 10
# SrScAg2 | Alexandria | SCAN | single point on PBEsol structure
# - Space group: R-3m (166)
# - Theoretical density: 5.61 Mg/m³
# - Electronic total energy: -25.021 eV/atom
# - Size of the total moment: 0.00 μB/f.u.
# - Relative energy among the computed polymorphs: 62 meV/atom
# - Energy of formation from the pure elements: -0.2092 eV per atom
data_SrScAg2
_symmetry_space_group_name_H-M 'P 1'
_symmetry_Int_Tables_number 1
_cell_length_a 4.7759
_cell_length_b 4.7759
_cell_length_c 5.9045
_cell_angle_alpha 66.14
_cell_angle_beta 66.14
_cell_angle_gamma 60.00
loop_
_symmetry_equiv_pos_as_xyz
'x,y,z'
loop_
_atom_site_label
_atom_site_type_symbol
_atom_site_fract_x
_atom_site_fract_y
_atom_site_fract_z
_atom_site_occupancy
Ag1 Ag 0.2973 0.2973 0.1082 1
Ag2 Ag 0.7027 0.7027 0.8918 1
Sc1 Sc 0.0000 0.0000 0.0000 1
Sr1 Sr 0.5000 0.5000 0.5000 1

=====

# 11
# SrScAg2 | Alexandria | SCAN | single point on PBEsol structure
# - Space group: P4/mmm (123)
# - Theoretical density: 6.23 Mg/m³
# - Electronic total energy: -25.083 eV/atom
# - Size of the total moment: 0.00 μB/f.u.
# - Relative energy among the computed polymorphs: 0 meV/atom
# - Energy of formation from the pure elements: -0.2714 eV per atom
data_SrScAg2
_symmetry_space_group_name_H-M 'P 1'
_symmetry_Int_Tables_number 1
_cell_length_a 3.5395
_cell_length_b 3.5395
_cell_length_c 7.4073
_cell_angle_alpha 90.00
_cell_angle_beta 90.00
_cell_angle_gamma 90.00
loop_
_symmetry_equiv_pos_as_xyz
'x,y,z'
loop_
_atom_site_label
_atom_site_type_symbol
_atom_site_fract_x
_atom_site_fract_y
_atom_site_fract_z
_atom_site_occupancy
Sr1 Sr 0.5000 0.5000 0.5000 1
Ag1 Ag 0.0000 0.0000 0.8013 1
Ag2 Ag 0.0000 0.0000 0.1987 1
Sc1 Sc 0.5000 0.5000 0.0000 1

=====

# 12
# SrScAg2 | Alexandria | SCAN | single point on PBEsol structure
# - Space group: Fm-3m (225)
# - Theoretical density: 6.21 Mg/m³
# - Electronic total energy: -24.948 eV/atom
# - Size of the total moment: 0.00 μB/f.u.
# - Relative energy among the computed polymorphs: 135 meV/atom
# - Energy of formation from the pure elements: -0.1361 eV per atom
data_SrScAg2
_symmetry_space_group_name_H-M 'P 1'
_symmetry_Int_Tables_number 1
_cell_length_a 5.0888
_cell_length_b 5.0888
_cell_length_c 5.0888
_cell_angle_alpha 60.00
_cell_angle_beta 60.00
_cell_angle_gamma 60.00
loop_
_symmetry_equiv_pos_as_xyz
'x,y,z'
loop_
_atom_site_label
_atom_site_type_symbol
_atom_site_fract_x
_atom_site_fract_y
_atom_site_fract_z
_atom_site_occupancy
Ag1 Ag 0.2500 0.2500 0.2500 1
Ag2 Ag 0.7500 0.7500 0.7500 1
Sc1 Sc 0.0000 0.0000 0.0000 1
Sr1 Sr 0.5000 0.5000 0.5000 1